BaZn2Sb2, optimized geometry, DFT GGA-PBE; E_form (uncorrected) = -0.41 eV per atom; total magnetic moment = 0.000 μB/f.u.; space-group type = C2/c (15); crystal system = monoclinic
1.0
3.5892 -6.1472 0.0000
3.5892 6.1472 0.0000
-3.5294 0.0000 6.8583
Ba Zn Sb
2 4 4
Direct
0.1257 0.8743 0.7500
0.8743 0.1257 0.2500
0.2618 0.7382 0.2500
0.4897 0.5103 0.2500
0.5103 0.4897 0.7500
0.7382 0.2618 0.7500
0.1990 0.4480 0.9023
0.4480 0.1990 0.4023
0.5520 0.8010 0.5977
0.8010 0.5520 0.0977